HgSeBr, optimized geometry, DFT PBE-GGA; VASP energy = -4.636 eV/f.u.; formation energy (no corrections) = 0.82 eV per formula unit; space group = No. 216; size of the total moment = 0.01 Bohr magnetons per cell
1.0
0.000 3.487 3.487
3.487 0.000 3.487
3.487 3.487 0.000
Hg Se Br
1 1 1
Direct
0.000 0.000 0.000
0.250 0.250 0.250
0.750 0.750 0.750